An optimized crystal structure of MnP2Br2, computed with PBE.

abc: 6.474 6.474 5.154
angles: 90.00 90.00 90.00
Space group P4/mbm (No. 127)
One atom of each set of equivalent atoms:
Mn 0.000 0.000 0.000 [2 per cell]
P 0.124 0.376 0.000 [4 per cell]
Br 0.176 0.324 0.500 [4 per cell]

Results
Uncorrected formation energy: 103.6 meV/atom
Calculated total energy: -4.56 eV/atom

An optimized crystal structure of MnPSBr2, computed with PBE.

abc: 5.041 5.041 4.977
angles: 90.00 90.00 90.00
Space group P4/mmm (No. 123)
One atom of each set of equivalent atoms:
Mn 0.000 0.000 0.000 [1 per cell]
P 0.000 0.000 0.500 [1 per cell]
S 0.500 0.500 0.000 [1 per cell]
Br 0.000 0.500 0.500 [2 per cell]

Results
Uncorrected formation energy: 578.5 meV/atom
Calculated total energy: -3.83 eV/atom

An optimized crystal structure of MnPS2Br, computed with PBE.

abc: 4.254 4.254 5.048
angles: 90.00 90.00 90.00
Space group P4/mmm (No. 123)
One atom of each set of equivalent atoms:
Mn 0.000 0.000 0.000 [1 per cell]
P 0.000 0.000 0.500 [1 per cell]
S 0.000 0.500 0.000 [2 per cell]
Br 0.500 0.500 0.500 [1 per cell]

Results
Uncorrected formation energy: 384.2 meV/atom
Calculated total energy: -4.52 eV/atom

An optimized crystal structure of MnPS2Br, computed with PBE.

abc: 4.772 4.772 4.940
angles: 90.00 90.00 90.00
Space group P4/mmm (No. 123)
One atom of each set of equivalent atoms:
Mn 0.000 0.000 0.000 [1 per cell]
P 0.500 0.500 0.000 [1 per cell]
S 0.000 0.500 0.500 [2 per cell]
Br 0.500 0.500 0.500 [1 per cell]

Results
Uncorrected formation energy: 1272.5 meV/atom
Calculated total energy: -3.63 eV/atom